Here is crystalline CaFeTc2 at its relaxed geometry from the Alexandria database. Energies are from GGA-PBE.

```
4
Lattice="4.488 0.009 0.000 -0.009 4.488 0.000 -2.240 -2.249 3.173" Properties=species:S:1:pos:R:3 pbc="T T T"
Tc 2.244 0.005 1.586
Ca 2.240 2.249 0.000
Fe -0.005 2.244 1.586
Tc 0.000 0.000 0.000
```

## Properties
ΔH_f (0 K) in eV/atom: 0.5471
Total magnetization in μB per cell: 2.3
Excess energy over the best structure of this formula in the dataset in meV/atom: 178.1

Here is crystalline NpHg3S2Cl6 at its relaxed geometry from the Alexandria database. Energies are from GGA-PBE.

```
12
Lattice="6.752 0.000 -1.140 0.000 7.587 0.000 -2.687 -3.794 7.395" Properties=species:S:1:pos:R:3 pbc="T T T"
Cl 4.433 1.872 0.870
Hg 0.000 3.794 0.000
S 0.652 3.794 2.348
Cl -0.368 -1.922 5.385
Cl 1.243 0.000 1.036
Cl -0.368 1.922 5.385
Np 3.376 0.000 -0.570
Cl 2.823 3.794 5.219
Hg 2.033 -1.897 3.127
S 3.413 0.000 3.906
Hg 2.033 1.897 3.127
Cl 4.433 5.715 0.870
```

## Properties
Uncorrected formation energy in eV per atom: -0.87
Total magnetization in μB per cell: 3.0